No. 1
Below is a relaxed structure of Co2NiBr, with properties calculated at the GGA-PBE level.

Calculated values
* ΔE_f (raw): 307 kJ/mol of formula units
* crystal system: cubic
* uncorrected energy: -4.622 eV per atom
* energy above the most stable polymorph in this dataset: 393.4 meV/atom

Unit cell a=4.237 b=4.237 c=4.237 alpha=60.00 beta=60.00 gamma=60.00
Atoms (fractional coordinates):
Br 0.500 0.500 0.500
Co 0.000 0.000 0.000
Co 0.250 0.250 0.250
Ni 0.750 0.750 0.750


No. 2
Below is a relaxed structure of Zr3TiOs4, with properties calculated at the GGA-PBE level.

Calculated values
* ΔH_f (0 K): -532.9 meV/atom
* crystal system: orthorhombic
* uncorrected energy: -10.340 eV per atom

Unit cell a=3.236 b=4.592 c=9.170 alpha=90.00 beta=90.00 gamma=90.00
Atoms (fractional coordinates):
Os 0.000 0.000 0.500
Os 0.000 0.500 0.760
Os 0.000 0.000 0.000
Os 0.000 0.500 0.240
Zr 0.500 0.000 0.245
Zr 0.500 0.500 0.500
Zr 0.500 0.000 0.755
Ti 0.500 0.500 0.000


No. 3
Below is a relaxed structure of LaTmPb2, with properties calculated at the GGA-PBE level.

Calculated values
* ΔH_f (0 K): -474.8 meV/atom
* crystal system: monoclinic
* uncorrected energy: -4.679 eV per atom

Unit cell a=9.328 b=6.128 c=10.607 alpha=96.09 beta=108.64 gamma=114.57
Atoms (fractional coordinates):
La 0.308 0.058 0.116
La 0.692 0.942 0.884
La 0.069 0.819 0.638
La 0.931 0.181 0.362
Tm 0.446 0.696 0.393
Tm 0.183 0.433 0.866
Tm 0.554 0.304 0.607
Tm 0.817 0.567 0.134
Pb 0.546 0.765 0.126
Pb 0.080 0.361 0.126
Pb 0.454 0.235 0.874
Pb 0.920 0.639 0.874
Pb 0.314 0.537 0.626
Pb 0.187 0.911 0.374
Pb 0.686 0.463 0.374
Pb 0.813 0.089 0.626


No. 4
Below is a relaxed structure of Na2H2SBr2, with properties calculated at the GGA-PBE level.

Calculated values
* crystal system: triclinic
* uncorrected energy: -3.123 eV per atom

Unit cell a=4.165 b=6.520 c=8.009 alpha=55.64 beta=101.52 gamma=76.63
Atoms (fractional coordinates):
Na 0.371 0.063 0.721
Na 0.629 0.937 0.279
H 0.738 0.309 0.844
H 0.262 0.691 0.156
S 0.000 0.000 0.000
Br 0.607 0.346 0.345
Br 0.393 0.654 0.655


No. 5
Below is a relaxed structure of YMg6Sc5, with properties calculated at the GGA-PBE level.

Calculated values
* ΔH_f (0 K): -46.3 meV/atom
* crystal system: monoclinic
* uncorrected energy: -4.020 eV per atom

Unit cell a=5.132 b=8.890 c=8.890 alpha=119.97 beta=106.74 gamma=106.74
Atoms (fractional coordinates):
Y 0.000 0.000 0.000
Sc 0.500 0.164 0.836
Sc 0.000 0.333 0.667
Sc 0.500 0.500 0.500
Sc 0.000 0.667 0.333
Sc 0.500 0.836 0.164
Mg 0.256 0.086 0.426
Mg 0.744 0.574 0.914
Mg 0.761 0.262 0.262
Mg 0.239 0.738 0.738
Mg 0.256 0.426 0.086
Mg 0.744 0.914 0.574


No. 6
Below is a relaxed structure of Tb3PmCd6, with properties calculated at the GGA-PBE level.

Calculated values
* ΔH_f (0 K): -293.1 meV/atom
* crystal system: monoclinic
* uncorrected energy: -2.706 eV per atom

Unit cell a=5.196 b=9.264 c=11.156 alpha=105.93 beta=90.00 gamma=90.00
Atoms (fractional coordinates):
Tb 0.250 0.526 0.392
Tb 0.750 0.474 0.608
Tb 0.250 0.351 0.796
Tb 0.750 0.649 0.204
Tb 0.250 0.762 0.001
Tb 0.750 0.238 0.999
Pm 0.250 0.942 0.610
Pm 0.750 0.058 0.390
Cd 0.250 0.451 0.095
Cd 0.750 0.549 0.905
Cd 0.250 0.144 0.196
Cd 0.750 0.856 0.804
Cd 0.250 0.655 0.709
Cd 0.750 0.345 0.291
Cd 0.250 0.246 0.502
Cd 0.750 0.754 0.498
Cd 0.250 0.844 0.304
Cd 0.750 0.156 0.696
Cd 0.250 0.053 0.904
Cd 0.750 0.947 0.096


no.,size of the total moment (μB per cell)
1,3.992
2,0.000
3,0.000
4,0.000
5,0.001
6,0.002